# Ca2ZnH6Ir GGA-PBE relaxed
data_Ca2ZnH6Ir
_chemical_formula_sum 'Ca4 Zn2 H12 Ir2'
_space_group_name_H-M_alt 'P 1'
_space_group_IT_number 1
_cell_length_a 5.2102
_cell_length_b 5.2102
_cell_length_c 9.9596
_cell_angle_alpha 74.84
_cell_angle_beta 74.84
_cell_angle_gamma 60.00
loop_
_space_group_symop_operation_xyz
'x,y,z'
loop_
_atom_site_label
_atom_site_fract_x
_atom_site_fract_y
_atom_site_fract_z
Ir1 0.5000 0.5000 0.5000
Ca1 0.8766 0.8766 0.3702
Ca2 0.1234 0.1234 0.6298
H1 0.7331 0.1911 0.8848
H2 0.8583 0.3708 0.4001
H3 0.6292 0.6292 0.5999
Zn1 0.5912 0.5912 0.2264
H4 0.1911 0.1911 0.8848
H5 0.8089 0.2669 0.1152
H6 0.8089 0.8089 0.1152
H7 0.3708 0.3708 0.4001
Ca3 0.2994 0.2994 0.1017
H8 0.6292 0.1417 0.5999
H9 0.1911 0.7331 0.8848
H10 0.1417 0.6292 0.5999
Zn2 0.4088 0.4088 0.7736
H11 0.2669 0.8089 0.1152
Ir2 0.0000 0.0000 0.0000
H12 0.3708 0.8583 0.4001
Ca4 0.7006 0.7006 0.8983
# Space-group type = No. 166
# Calculated volume = 11.2 Å³/atom
# Total energy = -74.8 eV for the cell shown